[1]
DFT (PBE-GGA) results for crystalline CaPt2 at its relaxed geometry.

Cell: 6.652 6.652 6.652 Å, 90.00 90.00 90.00°
Atoms (fractional coordinates):
Ca (0.000, 0.000, 0.000)
Ca (0.000, 0.500, 0.500)
Ca (0.500, 0.000, 0.500)
Ca (0.500, 0.500, 0.000)
Pt (0.109, 0.609, 0.891)
Pt (0.109, 0.891, 0.391)
Pt (0.391, 0.109, 0.891)
Pt (0.391, 0.391, 0.391)
Pt (0.609, 0.609, 0.609)
Pt (0.609, 0.891, 0.109)
Pt (0.891, 0.109, 0.609)
Pt (0.891, 0.391, 0.109)

Results
V	24.530	Å³ per atom
DOS(E_F)	0.92	states/eV per atom
magnetization	0.000	μB/cell
DFT formation energy	216	meV/atom

[2]
DFT (PBE-GGA) results for crystalline K2GeMo2 at its relaxed geometry.

Cell: 10.302 10.302 2.888 Å, 90.00 90.00 90.00°
Atoms (fractional coordinates):
K (0.212, 0.288, 0.000)
K (0.288, 0.788, 0.000)
K (0.712, 0.212, 0.000)
K (0.788, 0.712, 0.000)
Ge (0.000, 0.000, 0.000)
Ge (0.500, 0.500, 0.000)
Mo (0.072, 0.572, 0.500)
Mo (0.428, 0.072, 0.500)
Mo (0.572, 0.928, 0.500)
Mo (0.928, 0.428, 0.500)

Results
V	30.645	Å³ per atom
DOS(E_F)	0.99	states/eV per atom
magnetization	0.000	μB/cell
DFT formation energy	1278	meV/atom

[3]
DFT (PBE-GGA) results for crystalline RbLi2TlHg at its relaxed geometry.

Cell: 5.506 5.506 5.802 Å, 90.00 90.00 90.00°
Atoms (fractional coordinates):
Rb (0.000, 0.000, 0.000)
Li (0.000, 0.500, 0.500)
Li (0.500, 0.000, 0.500)
Tl (0.500, 0.500, 0.500)
Hg (0.500, 0.500, 0.000)

Results
V	35.179	Å³ per atom
DOS(E_F)	0.42	states/eV per atom
magnetization	0.000	μB/cell
DFT formation energy	-45	meV/atom

[4]
DFT (PBE-GGA) results for crystalline Tl2OsBr5 at its relaxed geometry.

Cell: 12.083 7.607 7.742 Å, 90.00 128.01 90.00°
Atoms (fractional coordinates):
Tl (0.000, 0.000, 0.000)
Tl (0.011, 0.500, 0.511)
Tl (0.500, 0.500, 0.000)
Tl (0.511, 0.000, 0.511)
Os (0.271, 0.000, 0.777)
Os (0.771, 0.500, 0.777)
Br (0.018, 0.500, 0.074)
Br (0.224, 0.231, 0.953)
Br (0.224, 0.769, 0.953)
Br (0.278, 0.231, 0.555)
Br (0.278, 0.769, 0.555)
Br (0.518, 0.000, 0.074)
Br (0.724, 0.269, 0.953)
Br (0.724, 0.731, 0.953)
Br (0.778, 0.269, 0.555)
Br (0.778, 0.731, 0.555)

Results
V	35.040	Å³ per atom
uncorrected formation energy	-0.320	eV per atom
DOS(E_F)	1.05	states/eV per atom
magnetization	2.061	μB/cell

[5]
DFT (PBE-GGA) results for crystalline ErCdAu at its relaxed geometry.

Cell: 3.753 3.753 9.502 Å, 90.00 90.00 90.00°
Atoms (fractional coordinates):
Er (0.000, 0.000, 0.000)
Er (0.500, 0.500, 0.500)
Cd (0.000, 0.000, 0.680)
Cd (0.500, 0.500, 0.180)
Au (0.000, 0.000, 0.340)
Au (0.500, 0.500, 0.840)

Results
V	22.306	Å³ per atom
DOS(E_F)	0.26	states/eV per atom
magnetization	0.000	μB/cell
DFT formation energy	-539	meV/atom

[6]
DFT (PBE-GGA) results for crystalline Na2LiCd at its relaxed geometry.

Cell: 3.903 3.429 16.839 Å, 90.00 90.00 90.00°
Atoms (fractional coordinates):
Na (0.000, 0.000, 0.000)
Na (0.000, 0.500, 0.500)
Na (0.500, 0.000, 0.341)
Na (0.500, 0.500, 0.841)
Li (0.000, 0.000, 0.710)
Li (0.000, 0.500, 0.210)
Cd (0.500, 0.000, 0.146)
Cd (0.500, 0.500, 0.646)

Results
V	28.170	Å³ per atom
DOS(E_F)	0.42	states/eV per atom
magnetization	0.000	μB/cell
DFT formation energy	-25	meV/atom

[7]
DFT (PBE-GGA) results for crystalline BeZn at its relaxed geometry.

Cell: 2.493 10.036 5.826 Å, 90.00 90.00 90.00°
Atoms (fractional coordinates):
Be (0.000, 0.000, 0.000)
Be (0.000, 0.500, 0.500)
Be (0.500, 0.109, 0.252)
Be (0.500, 0.391, 0.752)
Be (0.500, 0.609, 0.752)
Be (0.500, 0.891, 0.252)
Zn (0.000, 0.242, 0.517)
Zn (0.000, 0.258, 0.017)
Zn (0.000, 0.742, 0.017)
Zn (0.000, 0.758, 0.517)
Zn (0.500, 0.000, 0.645)
Zn (0.500, 0.500, 0.145)

Results
V	12.147	Å³ per atom
DOS(E_F)	0.23	states/eV per atom
magnetization	0.000	μB/cell
DFT formation energy	135	meV/atom

[8]
DFT (PBE-GGA) results for crystalline Tb6Ge3AsS2 at its relaxed geometry.

Cell: 9.212 9.212 8.259 Å, 104.75 104.75 25.45°
Atoms (fractional coordinates):
Tb (0.002, 0.002, 0.249)
Tb (0.332, 0.332, 0.419)
Tb (0.333, 0.333, 0.915)
Tb (0.667, 0.667, 0.085)
Tb (0.668, 0.668, 0.581)
Tb (0.998, 0.998, 0.751)
Ge (0.167, 0.167, 0.831)
Ge (0.500, 0.500, 0.500)
Ge (0.833, 0.833, 0.169)
As (0.500, 0.500, 0.000)
S (0.168, 0.168, 0.335)
S (0.832, 0.832, 0.665)

Results
V	24.225	Å³ per atom
uncorrected formation energy	-1.349	eV per atom
DOS(E_F)	0.47	states/eV per atom
magnetization	0.000	μB/cell

- Which formula does entry 2 have?
  K2GeMo2

- The lowest V belongs to which entry?
  BeZn

- Which of these has the lowest DOS(E_F)?
  BeZn